Below is Rb2CePd3F12 after structural relaxation, with properties calculated at the PBE level.

Summary:
Crystal system ... trigonal

Unit cell a=6.8068 b=6.8068 c=25.4680 alpha=90.00 beta=90.00 gamma=120.00
Space group R-3m (No. 166, hexagonal axes)
Symmetry-distinct sites (fractional):
Rb  0.0000  0.0000  0.1262 [6 per cell]
Ce  0.0000  0.0000  0.5000 [3 per cell]
Pd  0.0000  0.5000  0.0000 [9 per cell]
F  0.0201  0.5101  0.1220 [18 per cell]
F  0.0490  0.5245  0.3654 [18 per cell]



Below is CeTlPdF6 after structural relaxation, with properties calculated at the PBE level.

Summary:
Crystal system ... trigonal

Unit cell a=7.6161 b=7.6161 c=6.4281 alpha=90.00 beta=90.00 gamma=120.00
Space group P-31c (No. 163)
Symmetry-distinct sites (fractional):
Ce  0.3333  0.6667  0.2500 [2 per cell]
Tl  0.0000  0.0000  0.0000 [2 per cell]
Pd  0.3333  0.6667  0.7500 [2 per cell]
F  0.1447  0.4251  0.0241 [12 per cell]



Below is CePm2F8 after structural relaxation, with properties calculated at the PBE level.

Summary:
Crystal system ... orthorhombic

Unit cell a=3.8670 b=6.6311 c=11.2897 alpha=90.00 beta=90.00 gamma=90.00
Space group Immm (No. 71)
Symmetry-distinct sites (fractional):
Ce  0.0000  0.0000  0.0000 [2 per cell]
Pm  0.0000  0.0000  0.3150 [4 per cell]
F  0.0000  0.1910  0.5000 [4 per cell]
F  0.0000  0.2853  0.1624 [8 per cell]
F  0.0000  0.5000  0.3478 [4 per cell]



| no. | V (Å³ per atom) | E_tot (Ha/atom) |
| --- | --- | --- |
| 1 | 18.92 | -0.1758 |
| 2 | 17.94 | -0.1904 |
| 3 | 13.16 | -0.2411 |